# 1
# ScZn2GaCu4 (PBE, relaxed)
data_ScZn2GaCu4
_cell_length_a 4.2195
_cell_length_b 4.2195
_cell_length_c 7.9325
_cell_angle_alpha 74.58
_cell_angle_beta 74.58
_cell_angle_gamma 60.00
_symmetry_space_group_name_H-M 'P 1'
_symmetry_Int_Tables_number 1
loop_
_symmetry_equiv_pos_as_xyz
'x,y,z'
loop_
_atom_site_label
_atom_site_fract_x
_atom_site_fract_y
_atom_site_fract_z
Sc1 0.0000 0.0000 0.0000
Zn1 0.7463 0.7463 0.7610
Zn2 0.2537 0.2537 0.2390
Ga1 0.5000 0.5000 0.5000
Cu1 0.3914 0.3914 0.8259
Cu2 0.8742 0.8742 0.3774
Cu3 0.1258 0.1258 0.6226
Cu4 0.6086 0.6086 0.1741
# ΔE_f	-0.14	eV per atom
# total magnetization	0.00	μB/cell
# density of states at the Fermi level	3.5	states/eV per cell

=====

# 2
# Sc4ZnGaCu2 (PBE, relaxed)
data_Sc4ZnGaCu2
_cell_length_a 4.6825
_cell_length_b 4.6825
_cell_length_c 8.1218
_cell_angle_alpha 73.25
_cell_angle_beta 73.25
_cell_angle_gamma 60.00
_symmetry_space_group_name_H-M 'P 1'
_symmetry_Int_Tables_number 1
loop_
_symmetry_equiv_pos_as_xyz
'x,y,z'
loop_
_atom_site_label
_atom_site_fract_x
_atom_site_fract_y
_atom_site_fract_z
Sc1 0.3754 0.3754 0.8739
Sc2 0.8747 0.8747 0.3760
Sc3 0.1253 0.1253 0.6240
Sc4 0.6246 0.6246 0.1261
Zn1 0.5000 0.5000 0.5000
Ga1 0.0000 0.0000 0.0000
Cu1 0.7515 0.7515 0.7454
Cu2 0.2485 0.2485 0.2546
# ΔE_f	-0.39	eV per atom
# total magnetization	0.00	μB/cell
# density of states at the Fermi level	5.3	states/eV per cell

=====

# 3
# Ga3CuSe (PBE, relaxed)
data_Ga3CuSe
_cell_length_a 4.7028
_cell_length_b 4.7028
_cell_length_c 4.7028
_cell_angle_alpha 90.00
_cell_angle_beta 90.00
_cell_angle_gamma 90.00
_symmetry_space_group_name_H-M 'P 1'
_symmetry_Int_Tables_number 1
loop_
_symmetry_equiv_pos_as_xyz
'x,y,z'
loop_
_atom_site_label
_atom_site_fract_x
_atom_site_fract_y
_atom_site_fract_z
Cu1 0.0000 0.0000 0.0000
Ga1 0.0000 0.5000 0.0000
Ga2 0.0000 0.0000 0.5000
Ga3 0.5000 0.0000 0.0000
Se1 0.5000 0.5000 0.5000
# energy relative to the elements, uncorrected	-0.0168	eV per atom
# total magnetization	0.00	μB/cell
# density of states at the Fermi level	0.4	states/eV per cell
# energy relative to the lowest polymorph listed for this composition	0.00	kJ per mole of atoms

=====

# 4
# Ga2CuSe (PBE, relaxed)
data_Ga2CuSe
_cell_length_a 5.9869
_cell_length_b 5.9869
_cell_length_c 6.8428
_cell_angle_alpha 64.06
_cell_angle_beta 64.06
_cell_angle_gamma 90.00
_symmetry_space_group_name_H-M 'P 1'
_symmetry_Int_Tables_number 1
loop_
_symmetry_equiv_pos_as_xyz
'x,y,z'
loop_
_atom_site_label
_atom_site_fract_x
_atom_site_fract_y
_atom_site_fract_z
Cu1 0.5000 0.5000 0.0000
Cu2 0.2500 0.7500 0.5000
Ga1 0.5970 0.1250 0.2500
Ga2 0.1530 0.6250 0.2500
Ga3 0.3750 0.4030 0.7500
Ga4 0.8750 0.8470 0.7500
Se1 0.0000 0.0000 0.0000
Se2 0.7500 0.2500 0.5000
# energy relative to the elements, uncorrected	-0.0229	eV per atom
# total magnetization	0.00	μB/cell
# density of states at the Fermi level	4.2	states/eV per cell
# energy relative to the lowest polymorph listed for this composition	0.00	kJ per mole of atoms

=====

# 5
# Ga2CuSe4 (PBE, relaxed)
data_Ga2CuSe4
_cell_length_a 5.3747
_cell_length_b 5.3747
_cell_length_c 5.8572
_cell_angle_alpha 90.00
_cell_angle_beta 90.00
_cell_angle_gamma 90.00
_symmetry_space_group_name_H-M 'P 1'
_symmetry_Int_Tables_number 1
loop_
_symmetry_equiv_pos_as_xyz
'x,y,z'
loop_
_atom_site_label
_atom_site_fract_x
_atom_site_fract_y
_atom_site_fract_z
Ga1 0.5000 0.0000 0.5000
Ga2 0.0000 0.5000 0.5000
Cu1 0.0000 0.0000 0.0000
Se1 0.7378 0.2622 0.7628
Se2 0.2622 0.2622 0.2372
Se3 0.2622 0.7378 0.7628
Se4 0.7378 0.7378 0.2372
# energy relative to the elements, uncorrected	-0.4483	eV per atom
# total magnetization	0.00	μB/cell
# density of states at the Fermi level	5.4	states/eV per cell

=====

# 6
# GaCuSe3 (PBE, relaxed)
data_GaCuSe3
_cell_length_a 4.8721
_cell_length_b 4.8721
_cell_length_c 4.8721
_cell_angle_alpha 90.00
_cell_angle_beta 90.00
_cell_angle_gamma 90.00
_symmetry_space_group_name_H-M 'P 1'
_symmetry_Int_Tables_number 1
loop_
_symmetry_equiv_pos_as_xyz
'x,y,z'
loop_
_atom_site_label
_atom_site_fract_x
_atom_site_fract_y
_atom_site_fract_z
Cu1 0.0000 0.0000 0.0000
Ga1 0.5000 0.5000 0.5000
Se1 0.0000 0.5000 0.0000
Se2 0.0000 0.0000 0.5000
Se3 0.5000 0.0000 0.0000
# energy relative to the elements, uncorrected	0.3023	eV per atom
# total magnetization	0.00	μB/cell
# density of states at the Fermi level	5.3	states/eV per cell
# energy relative to the lowest polymorph listed for this composition	54.78	kJ per mole of atoms

=====

# 7
# Ga3CuSe (PBE, relaxed)
data_Ga3CuSe
_cell_length_a 5.0602
_cell_length_b 5.0602
_cell_length_c 5.0602
_cell_angle_alpha 90.00
_cell_angle_beta 90.00
_cell_angle_gamma 90.00
_symmetry_space_group_name_H-M 'P 1'
_symmetry_Int_Tables_number 1
loop_
_symmetry_equiv_pos_as_xyz
'x,y,z'
loop_
_atom_site_label
_atom_site_fract_x
_atom_site_fract_y
_atom_site_fract_z
Cu1 0.5000 0.5000 0.5000
Ga1 0.0000 0.5000 0.0000
Ga2 0.0000 0.0000 0.5000
Ga3 0.5000 0.0000 0.0000
Se1 0.0000 0.0000 0.0000
# energy relative to the elements, uncorrected	0.6913	eV per atom
# total magnetization	0.00	μB/cell
# density of states at the Fermi level	2.2	states/eV per cell
# energy relative to the lowest polymorph listed for this composition	68.32	kJ per mole of atoms

=====

# 8
# GaCu3Se4 (PBE, relaxed)
data_GaCu3Se4
_cell_length_a 5.5574
_cell_length_b 5.5574
_cell_length_c 6.8565
_cell_angle_alpha 113.91
_cell_angle_beta 113.91
_cell_angle_gamma 90.00
_symmetry_space_group_name_H-M 'P 1'
_symmetry_Int_Tables_number 1
loop_
_symmetry_equiv_pos_as_xyz
'x,y,z'
loop_
_atom_site_label
_atom_site_fract_x
_atom_site_fract_y
_atom_site_fract_z
Ga1 0.0000 0.0000 0.0000
Cu1 0.5000 0.5000 0.0000
Cu2 0.7500 0.2500 0.5000
Cu3 0.2500 0.7500 0.5000
Se1 0.3816 0.3816 0.2542
Se2 0.8725 0.8725 0.2542
Se3 0.1275 0.6184 0.7458
Se4 0.6184 0.1275 0.7458
# energy relative to the elements, uncorrected	-0.3257	eV per atom
# total magnetization	0.00	μB/cell
# density of states at the Fermi level	5.5	states/eV per cell

=====

# 9
# Ga5CuSe8 (PBE, relaxed)
data_Ga5CuSe8
_cell_length_a 5.5334
_cell_length_b 5.5334
_cell_length_c 11.3155
_cell_angle_alpha 90.00
_cell_angle_beta 90.00
_cell_angle_gamma 90.00
_symmetry_space_group_name_H-M 'P 1'
_symmetry_Int_Tables_number 1
loop_
_symmetry_equiv_pos_as_xyz
'x,y,z'
loop_
_atom_site_label
_atom_site_fract_x
_atom_site_fract_y
_atom_site_fract_z
Ga1 0.0000 0.5000 0.2549
Ga2 0.5000 0.0000 0.7451
Ga3 0.0000 0.5000 0.7451
Ga4 0.5000 0.0000 0.2549
Ga5 0.0000 0.0000 0.0000
Cu1 0.5000 0.5000 0.5000
Se1 0.2663 0.2663 0.1159
Se2 0.7337 0.7337 0.1159
Se3 0.2663 0.7337 0.8841
Se4 0.7337 0.2663 0.8841
Se5 0.2400 0.2400 0.6184
Se6 0.7600 0.7600 0.6184
Se7 0.2400 0.7600 0.3816
Se8 0.7600 0.2400 0.3816
# energy relative to the elements, uncorrected	-0.5578	eV per atom
# total magnetization	0.00	μB/cell
# density of states at the Fermi level	0.5	states/eV per cell

=====

# 10
# GaCuSe3 (PBE, relaxed)
data_GaCuSe3
_cell_length_a 3.7038
_cell_length_b 6.1550
_cell_length_c 11.4655
_cell_angle_alpha 90.00
_cell_angle_beta 99.30
_cell_angle_gamma 90.00
_symmetry_space_group_name_H-M 'P 1'
_symmetry_Int_Tables_number 1
loop_
_symmetry_equiv_pos_as_xyz
'x,y,z'
loop_
_atom_site_label
_atom_site_fract_x
_atom_site_fract_y
_atom_site_fract_z
Ga1 0.8764 0.9211 0.7527
Ga2 0.1236 0.4211 0.2473
Cu1 0.3208 0.4832 0.6415
Cu2 0.6792 0.9832 0.3585
Se1 0.8724 0.3237 0.7448
Se2 0.1276 0.8237 0.2552
Se3 0.5595 0.3651 0.1190
Se4 0.4405 0.8651 0.8810
Se5 0.7841 0.7010 0.5682
Se6 0.2159 0.2010 0.4318
# energy relative to the elements, uncorrected	-0.2655	eV per atom
# total magnetization	0.00	μB/cell
# density of states at the Fermi level	2.1	states/eV per cell
# energy relative to the lowest polymorph listed for this composition	0.00	kJ per mole of atoms